Record 1
This record from Alexandria via LeMat-Bulk describes RbLaF2 after structural relaxation. The functional is PBE-GGA.

Computed properties:
- E above lowest polymorph: 0.040 eV per atom
- Size of the total moment: 0.13 μB/f.u.

```
RbLaF2
1.0
2.1125 1.2197 7.7308
-2.1125 1.2197 7.7308
0.0000 -2.4393 7.7308
Rb La F
1 1 2
Cartesian
0.0000 0.0000 0.0000
0.0000 0.0000 11.5962
0.0000 0.0000 3.3831
0.0000 0.0000 19.8094
```


Record 2
This record from Alexandria via LeMat-Bulk describes Rb2LaF5 after structural relaxation. The functional is PBE-GGA.

Computed properties:
- Uncorrected energy: -5.505 eV/atom
- Size of the total moment: 0.17 μB/f.u.

```
Rb2LaF5
1.0
11.5718 0.0000 0.0000
0.0000 7.8796 0.0000
0.0000 0.0000 7.0448
Rb La F
8 4 20
Cartesian
1.9774 0.0221 0.2098
1.9774 3.9177 0.2098
3.8085 3.9619 3.7322
3.8085 7.8575 3.7322
7.7634 0.0221 3.3126
7.7634 3.9177 3.3126
9.5944 3.9619 6.8350
9.5944 7.8575 6.8350
0.0328 1.9699 3.9492
5.7531 5.9097 0.4268
5.8187 1.9699 6.6180
11.5391 5.9097 3.0956
0.1396 1.9699 6.2812
0.9041 4.1914 4.5341
0.9041 7.6280 4.5341
1.9245 1.9699 2.5793
2.2185 5.9097 2.3763
3.5674 1.9699 5.8987
3.8614 5.9097 6.1017
4.8819 0.2516 1.0117
4.8819 3.6882 1.0117
5.6464 5.9097 2.7588
5.9255 1.9699 4.2860
6.6900 4.1914 6.0331
6.6900 7.6280 6.0331
7.7104 1.9699 0.9431
8.0044 5.9097 1.1461
9.3534 1.9699 4.6685
9.6473 5.9097 4.4655
10.6678 0.2516 2.5107
10.6678 3.6882 2.5107
11.4323 5.9097 0.7636
```


Record 3
This record from Alexandria via LeMat-Bulk describes Rb4LaF7 after structural relaxation. The functional is PBE-GGA.

Computed properties:
- Uncorrected energy: -4.952 eV/atom
- Size of the total moment: 0.23 μB/f.u.

```
Rb4LaF7
1.0
10.6046 -2.3088 0.0000
10.6046 2.3088 0.0000
-1.8125 0.0000 6.2347
Rb La F
4 1 7
Cartesian
1.9120 0.0000 0.3296
3.2222 0.0000 4.3102
16.1744 0.0000 1.9245
17.4847 0.0000 5.9051
9.6983 0.0000 3.1174
-0.9063 0.0000 3.1174
4.1815 0.0000 1.6393
8.0358 0.0000 1.4741
8.0410 0.0000 4.7199
11.3556 0.0000 1.5148
11.3608 0.0000 4.7606
15.2152 0.0000 4.5954
```


Record 4
This record from Alexandria via LeMat-Bulk describes Rb2LaF after structural relaxation. The functional is PBE-GGA.

Computed properties:
- Uncorrected energy: -2.862 eV/atom
- Size of the total moment: 2.86 μB/f.u.

```
Rb2LaF
1.0
-4.0475 4.0475 5.1215
4.0475 -4.0475 5.1215
4.0475 4.0475 -5.1215
Rb La F
4 2 2
Cartesian
0.8580 2.0238 1.2804
-2.0238 3.1895 3.8411
-0.8580 6.0713 1.2804
2.0238 4.9056 3.8411
4.0475 0.0000 2.5608
0.0000 0.0000 5.1215
0.0000 0.0000 0.0000
0.0000 4.0475 2.5608
```


Record 5
This record from Alexandria via LeMat-Bulk describes RbLaF2 after structural relaxation. The functional is PBE-GGA.

Computed properties:
- E above lowest polymorph: 0.829 eV per atom
- Size of the total moment: 1.93 μB/f.u.

```
RbLaF2
1.0
0.0000 3.4458 3.4458
3.4458 0.0000 3.4458
3.4458 3.4458 0.0000
Rb La F
1 1 2
Cartesian
0.0000 0.0000 0.0000
3.4458 3.4458 3.4458
1.7229 1.7229 1.7229
5.1687 5.1687 5.1687
```


Record 6
This record from Alexandria via LeMat-Bulk describes Rb2LaRhF6 after structural relaxation. The functional is PBE-GGA.

Computed properties:
- Uncorrected energy: -5.226 eV/atom
- Size of the total moment: 0.16 μB/f.u.

```
Rb2LaRhF6
1.0
-3.0938 3.0938 5.8184
3.0938 -3.0938 5.8184
3.0938 3.0938 -5.8184
Rb La Rh F
2 1 1 6
Cartesian
3.0938 0.0000 2.9092
0.0000 3.0938 2.9092
0.0000 0.0000 0.0000
0.0000 0.0000 5.8184
0.0000 0.0000 2.3050
1.6291 1.6291 0.0000
1.4647 -1.4647 5.8184
-1.4647 1.4647 5.8184
1.4647 1.4647 5.8184
0.0000 0.0000 9.3317
```


Record 7
This record from Alexandria via LeMat-Bulk describes Rb2LaSF6 after structural relaxation. The functional is PBE-GGA.

Computed properties:
- Uncorrected energy: -4.781 eV/atom
- Size of the total moment: 1.00 μB/f.u.

```
Rb2LaSF6
1.0
-3.1981 3.1981 5.6742
3.1981 -3.1981 5.6742
3.1981 3.1981 -5.6742
Rb La S F
2 1 1 6
Cartesian
3.1981 0.0000 2.8371
0.0000 3.1981 2.8371
0.0000 0.0000 0.0000
0.0000 0.0000 5.6742
0.0000 0.0000 2.2925
1.6308 1.6308 0.0000
1.5674 -1.5674 5.6742
-1.5674 1.5674 5.6742
1.5674 1.5674 5.6742
0.0000 0.0000 9.0559
```


Record 8
This record from Alexandria via LeMat-Bulk describes Rb2LaSbF6 after structural relaxation. The functional is PBE-GGA.

Computed properties:
- Uncorrected energy: -5.030 eV/atom
- Size of the total moment: 0.00 μB/f.u.

```
Rb2LaSbF6
1.0
-3.2501 3.2501 6.2374
3.2501 -3.2501 6.2374
3.2501 3.2501 -6.2374
Rb La Sb F
2 1 1 6
Cartesian
3.2501 0.0000 3.1187
0.0000 3.2501 3.1187
0.0000 0.0000 0.0000
0.0000 0.0000 6.2374
0.0000 0.0000 2.2919
1.6395 1.6395 0.0000
1.6107 -1.6107 6.2374
-1.6107 1.6107 6.2374
1.6107 1.6107 6.2374
0.0000 0.0000 10.1829
```